1.
Compound: Ce3HgRu
Source: Alexandria via LeMat-Bulk
Functional: PBE
Structure: relaxed

Space-group type ... P-1
Energy relative to the elements ... -1.28 eV/f.u.
ΔE to the lowest computed polymorph ... 0.00 kJ per mole of atoms
Density of states at the Fermi level ... 2.53 states/eV per atom
Calculated volume ... 26.0 Å³/atom
Crystal system ... triclinic

Cell: 5.5030 6.3413 8.7836 Å, 107.69 90.07 115.53°
Last column: nearest neighbours and their distance in Å.
Element x y z (fractional)
Ce1 0.1269 0.2533 0.1211  1 Ru 2.85, 2 Ce 2.96-3.11
Ce2 0.1307 0.2620 0.7688  2 Ru 2.72-2.84
Ce3 0.3674 0.7372 0.5545  3 Ru 2.76-2.82
Ce4 0.6326 0.2628 0.4455  3 Ru 2.76-2.82
Ce5 0.8693 0.7380 0.2312  2 Ru 2.72-2.84
Ce6 0.8731 0.7467 0.8789  1 Ru 2.85, 2 Ce 2.96-3.11
Hg1 0.4092 0.8186 0.0880  1 Hg 2.98, 5 Ce 3.12-3.31
Hg2 0.5908 0.1814 0.9120  1 Hg 2.98, 5 Ce 3.12-3.31
Ru1 0.1089 0.2145 0.4366  6 Ce 2.72-2.85, 1 Ru 3.02
Ru2 0.8911 0.7855 0.5634  6 Ce 2.72-2.85, 1 Ru 3.02



2.
Compound: Ce2HgRu
Source: Alexandria via LeMat-Bulk
Functional: PBE
Structure: relaxed

Space-group type ... R-3m
Energy relative to the elements ... -1.19 eV/f.u.
ΔE to the lowest computed polymorph ... 4.32 kJ per mole of atoms
Density of states at the Fermi level ... 2.39 states/eV per atom
Calculated volume ... 26.9 Å³/atom
Crystal system ... trigonal

Cell: 3.9768 3.9768 23.5488 Å, 90.00 90.00 120.00°
Last column: nearest neighbours and their distance in Å.
Element x y z (fractional)
Ce1 0.0000 0.0000 0.2324  3 Ru 2.77
Ce2 0.0000 0.0000 0.7676  3 Ru 2.77
Ce3 0.3333 0.6667 0.4343  3 Ru 2.77
Ce4 0.3333 0.6667 0.8991  3 Ru 2.77
Ce5 0.6667 0.3333 0.1009  3 Ru 2.77
Ce6 0.6667 0.3333 0.5657  3 Ru 2.77
Hg1 0.0000 0.0000 0.0000  6 Ce 3.30
Hg2 0.3333 0.6667 0.6667  6 Ce 3.30
Hg3 0.6667 0.3333 0.3333  6 Ce 3.30
Ru1 0.0000 0.0000 0.5000  6 Ce 2.77
Ru2 0.3333 0.6667 0.1667  6 Ce 2.77
Ru3 0.6667 0.3333 0.8333  6 Ce 2.77



3.
Compound: CeHgRu
Source: Alexandria via LeMat-Bulk
Functional: PBE
Structure: relaxed

Space-group type ... P3m1
Energy relative to the elements ... -0.01 eV/f.u.
ΔE to the lowest computed polymorph ... 36.09 kJ per mole of atoms
Density of states at the Fermi level ... 1.12 states/eV per atom
Calculated volume ... 21.4 Å³/atom
Crystal system ... trigonal

Cell: 4.7281 4.7281 3.3141 Å, 90.00 90.00 120.00°
Last column: nearest neighbours and their distance in Å.
Element x y z (fractional)
Ce1 0.0000 0.0000 0.0000  3 Ru 2.85, 3 Hg 3.15
Hg1 0.3333 0.6667 0.5260  3 Ru 2.88, 3 Ce 3.15
Ru1 0.6667 0.3333 0.2456  3 Ce 2.85, 3 Hg 2.88



4.
Compound: Ce2HgRu
Source: Alexandria via LeMat-Bulk
Functional: PBE
Structure: relaxed

Space-group type ... Fm-3m
Energy relative to the elements ... -0.76 eV/f.u.
ΔE to the lowest computed polymorph ... 14.79 kJ per mole of atoms
Density of states at the Fermi level ... 2.36 states/eV per atom
Calculated volume ... 23.8 Å³/atom
Crystal system ... cubic

Cell: 7.2504 7.2504 7.2504 Å, 90.00 90.00 90.00°
Last column: nearest neighbours and their distance in Å.
Element x y z (fractional)
Ce1 0.2500 0.2500 0.2500  4 Hg 3.14, 4 Ru 3.14
Ce2 0.2500 0.2500 0.7500  4 Hg 3.14, 4 Ru 3.14
Ce3 0.2500 0.7500 0.2500  4 Hg 3.14, 4 Ru 3.14
Ce4 0.2500 0.7500 0.7500  4 Hg 3.14, 4 Ru 3.14
Ce5 0.7500 0.2500 0.2500  4 Hg 3.14, 4 Ru 3.14
Ce6 0.7500 0.2500 0.7500  4 Hg 3.14, 4 Ru 3.14
Ce7 0.7500 0.7500 0.2500  4 Hg 3.14, 4 Ru 3.14
Ce8 0.7500 0.7500 0.7500  4 Ru 3.14, 4 Hg 3.14
Hg1 0.0000 0.0000 0.0000  8 Ce 3.14
Hg2 0.0000 0.5000 0.5000  8 Ce 3.14
Hg3 0.5000 0.0000 0.5000  8 Ce 3.14
Hg4 0.5000 0.5000 0.0000  8 Ce 3.14
Ru1 0.0000 0.0000 0.5000  8 Ce 3.14
Ru2 0.0000 0.5000 0.0000  8 Ce 3.14
Ru3 0.5000 0.0000 0.0000  8 Ce 3.14
Ru4 0.5000 0.5000 0.5000  8 Ce 3.14



5.
Compound: Ce2HgRu
Source: Alexandria via LeMat-Bulk
Functional: PBE
Structure: relaxed

Space-group type ... R3m
Energy relative to the elements ... -1.14 eV/f.u.
ΔE to the lowest computed polymorph ... 5.41 kJ per mole of atoms
Density of states at the Fermi level ... 2.40 states/eV per atom
Calculated volume ... 27.1 Å³/atom
Crystal system ... trigonal

Cell: 4.0280 4.0280 23.1119 Å, 90.00 90.00 120.00°
Last column: nearest neighbours and their distance in Å.
Element x y z (fractional)
Ce1 0.0000 0.0000 0.0000  3 Ru 2.77
Ce2 0.0000 0.0000 0.2024  3 Ru 2.78
Ce3 0.3333 0.6667 0.6667  3 Ru 2.77
Ce4 0.3333 0.6667 0.8691  3 Ru 2.78
Ce5 0.6667 0.3333 0.3333  3 Ru 2.77
Ce6 0.6667 0.3333 0.5357  3 Ru 2.78
Hg1 0.0000 0.0000 0.4338  6 Ce 3.29-3.31
Hg2 0.3333 0.6667 0.1005  6 Ce 3.29-3.31
Hg3 0.6667 0.3333 0.7672  6 Ce 3.29-3.31
Ru1 0.0000 0.0000 0.6013  6 Ce 2.77-2.78
Ru2 0.3333 0.6667 0.2680  6 Ce 2.77-2.78
Ru3 0.6667 0.3333 0.9346  6 Ce 2.77-2.78



6.
Compound: Ce2HgRu
Source: Alexandria via LeMat-Bulk
Functional: PBE
Structure: relaxed

Space-group type ... Pmma
Energy relative to the elements ... -1.37 eV/f.u.
ΔE to the lowest computed polymorph ... 0.00 kJ per mole of atoms
Density of states at the Fermi level ... 1.56 states/eV per atom
Calculated volume ... 23.1 Å³/atom
Crystal system ... orthorhombic

Cell: 6.8325 3.5087 7.7200 Å, 90.00 90.00 90.00°
Last column: nearest neighbours and their distance in Å.
Element x y z (fractional)
Ce1 0.0321 0.0000 0.2118  4 Ru 2.85-3.13, 1 Ce 2.98
Ce2 0.4679 0.0000 0.2118  4 Ru 2.85-3.13, 1 Ce 2.98
Ce3 0.5321 0.0000 0.7882  4 Ru 2.85-3.13, 1 Ce 2.98
Ce4 0.9679 0.0000 0.7882  4 Ru 2.85-3.13, 1 Ce 2.98
Hg1 0.2500 0.5000 0.5255  1 Ru 3.17, 8 Ce 3.30-3.34, 4 Hg 3.44-3.51
Hg2 0.7500 0.5000 0.4745  1 Ru 3.17, 8 Ce 3.30-3.34, 4 Hg 3.44-3.51
Ru1 0.2500 0.5000 0.9360  8 Ce 2.85-3.13, 1 Hg 3.17
Ru2 0.7500 0.5000 0.0640  8 Ce 2.85-3.13, 1 Hg 3.17



7.
Compound: Ce4HgRu5
Source: Alexandria via LeMat-Bulk
Functional: PBE
Structure: relaxed

Space-group type ... Pmmn
Energy relative to the elements ... -1.17 eV/f.u.
Density of states at the Fermi level ... 1.12 states/eV per atom
Calculated volume ... 21.6 Å³/atom
Crystal system ... orthorhombic

Cell: 9.0713 9.2050 5.1822 Å, 90.00 90.00 90.00°
Last column: nearest neighbours and their distance in Å.
Element x y z (fractional)
Ce1 0.0243 0.2500 0.2354  3 Ru 2.49-2.53
Ce2 0.2500 0.5617 0.2499  2 Ru 2.56
Ce3 0.2500 0.9383 0.2499  2 Ru 2.56
Ce4 0.4757 0.2500 0.2354  3 Ru 2.49-2.53
Ce5 0.5243 0.7500 0.7646  3 Ru 2.49-2.53
Ce6 0.7500 0.0617 0.7501  2 Ru 2.56
Ce7 0.7500 0.4383 0.7501  2 Ru 2.56
Ce8 0.9757 0.7500 0.7646  3 Ru 2.49-2.53
Hg1 0.2500 0.2500 0.7337  4 Ru 2.91
Hg2 0.7500 0.7500 0.2663  4 Ru 2.91
Ru1 0.0294 0.0201 0.7486  2 Ce 2.53-2.56, 2 Ru 2.66-2.69
Ru2 0.0294 0.4799 0.7486  2 Ce 2.53-2.56, 2 Ru 2.66-2.69
Ru3 0.2500 0.7500 0.7422  2 Ce 2.49
Ru4 0.4706 0.0201 0.7486  2 Ce 2.53-2.56, 2 Ru 2.66-2.69
Ru5 0.4706 0.4799 0.7486  2 Ce 2.53-2.56, 2 Ru 2.66-2.69
Ru6 0.5294 0.5201 0.2514  2 Ce 2.53-2.56, 2 Ru 2.66-2.69
Ru7 0.5294 0.9799 0.2514  2 Ce 2.53-2.56, 2 Ru 2.66-2.69
Ru8 0.7500 0.2500 0.2578  2 Ce 2.49
Ru9 0.9706 0.5201 0.2514  2 Ce 2.53-2.56, 2 Ru 2.66-2.69
Ru10 0.9706 0.9799 0.2514  2 Ce 2.53-2.56, 2 Ru 2.66-2.69



8.
Compound: Ce6HgRu3
Source: Alexandria via LeMat-Bulk
Functional: PBE
Structure: relaxed

Space-group type ... Cmc2_1
Energy relative to the elements ... -2.23 eV/f.u.
Density of states at the Fermi level ... 1.99 states/eV per atom
Calculated volume ... 25.3 Å³/atom
Crystal system ... orthorhombic

Cell: 8.6673 8.6673 6.9005 Å, 90.00 90.00 102.93°
Last column: nearest neighbours and their distance in Å.
Element x y z (fractional)
Ce1 0.0104 0.9896 0.5000  4 Ru 2.72-2.93
Ce2 0.1158 0.4965 0.5172  1 Ru 2.77, 1 Ce 2.84
Ce3 0.2378 0.7622 0.7580  3 Ru 2.82-2.91, 2 Ce 2.84
Ce4 0.2635 0.4095 0.9832  2 Ru 2.47-2.58
Ce5 0.4095 0.2635 0.4832  2 Ru 2.47-2.58
Ce6 0.4965 0.1158 0.0172  1 Ru 2.77, 1 Ce 2.84
Ce7 0.5035 0.8842 0.5172  1 Ru 2.77, 1 Ce 2.84
Ce8 0.5905 0.7365 0.9832  2 Ru 2.47-2.58
Ce9 0.7365 0.5905 0.4832  2 Ru 2.47-2.58
Ce10 0.7622 0.2378 0.2580  3 Ru 2.82-2.91, 2 Ce 2.84
Ce11 0.8842 0.5035 0.0172  1 Ru 2.77, 1 Ce 2.84
Ce12 0.9896 0.0104 0.0000  4 Ru 2.72-2.93
Hg1 0.2155 0.7845 0.2218  5 Ce 3.19-3.42
Hg2 0.7845 0.2155 0.7218  5 Ce 3.19-3.42
Ru1 0.0917 0.2622 0.2378  2 Ce 2.47-2.72
Ru2 0.2622 0.0917 0.7378  2 Ce 2.47-2.72
Ru3 0.4510 0.5490 0.7153  2 Ce 2.58
Ru4 0.5490 0.4510 0.2153  2 Ce 2.58
Ru5 0.7378 0.9083 0.2378  2 Ce 2.47-2.72
Ru6 0.9083 0.7378 0.7378  2 Ce 2.47-2.72



9.
Compound: Ce3Hg2Ru
Source: Alexandria via LeMat-Bulk
Functional: PBE
Structure: relaxed

Space-group type ... C2/m
Energy relative to the elements ... -1.46 eV/f.u.
ΔE to the lowest computed polymorph ... 7.39 kJ per mole of atoms
Density of states at the Fermi level ... 3.01 states/eV per atom
Calculated volume ... 28.0 Å³/atom
Crystal system ... monoclinic

Cell: 6.8628 6.8628 7.8711 Å, 96.84 96.84 112.11°
Last column: nearest neighbours and their distance in Å.
Element x y z (fractional)
Ce1 0.0474 0.4121 0.7726  2 Ru 2.77-2.88
Ce2 0.1836 0.1836 0.1820  2 Ru 2.74
Ce3 0.4121 0.0474 0.7726  2 Ru 2.77-2.88
Ce4 0.5879 0.9526 0.2274  2 Ru 2.77-2.88
Ce5 0.8164 0.8164 0.8180  2 Ru 2.74
Ce6 0.9526 0.5879 0.2274  2 Ru 2.77-2.88
Hg1 0.0000 0.0000 0.5000  6 Ce 3.12-3.23
Hg2 0.3690 0.6310 0.5000  1 Hg 2.98, 4 Ce 3.26-3.34
Hg3 0.5000 0.5000 0.0000  6 Ce 3.07-3.20
Hg4 0.6310 0.3690 0.5000  1 Hg 2.98, 4 Ce 3.26-3.34
Ru1 0.1824 0.8176 0.0000  6 Ce 2.74-2.88
Ru2 0.8176 0.1824 0.0000  6 Ce 2.74-2.88



10.
Compound: Ce3HgRu
Source: Alexandria via LeMat-Bulk
Functional: PBE
Structure: relaxed

Space-group type ... Cmcm
Energy relative to the elements ... -1.12 eV/f.u.
ΔE to the lowest computed polymorph ... 3.07 kJ per mole of atoms
Density of states at the Fermi level ... 2.16 states/eV per atom
Calculated volume ... 24.6 Å³/atom
Crystal system ... orthorhombic

Cell: 9.1133 9.1133 6.4921 Å, 90.00 90.00 66.09°
Last column: nearest neighbours and their distance in Å.
Element x y z (fractional)
Ce1 0.1424 0.6619 0.5008  2 Ru 2.84, 2 Ce 2.99-3.12
Ce2 0.1424 0.6619 0.9992  2 Ru 2.84, 2 Ce 2.99-3.12
Ce3 0.2870 0.2870 0.0000  4 Ru 3.02, 4 Ce 3.12-3.25
Ce4 0.2870 0.2870 0.5000  4 Ru 3.02, 4 Ce 3.12-3.25
Ce5 0.3381 0.8576 0.5008  2 Ru 2.84, 2 Ce 2.99-3.12
Ce6 0.3381 0.8576 0.9992  2 Ru 2.84, 2 Ce 2.99-3.12
Ce7 0.6619 0.1424 0.0008  2 Ru 2.84, 2 Ce 2.99-3.12
Ce8 0.6619 0.1424 0.4992  2 Ru 2.84, 2 Ce 2.99-3.12
Ce9 0.7130 0.7130 0.0000  4 Ru 3.02, 4 Ce 3.12-3.25
Ce10 0.7130 0.7130 0.5000  4 Ru 3.02, 4 Ce 3.12-3.25
Ce11 0.8576 0.3381 0.0008  2 Ru 2.84, 2 Ce 2.99-3.12
Ce12 0.8576 0.3381 0.4992  2 Ru 2.84, 2 Ce 2.99-3.12
Hg1 0.0004 0.9996 0.2500  2 Hg 3.25, 8 Ce 3.25
Hg2 0.9996 0.0004 0.7500  2 Hg 3.25, 8 Ce 3.25
Hg3 0.4997 0.5003 0.2500  2 Hg 3.25, 8 Ce 3.40
Hg4 0.5003 0.4997 0.7500  2 Hg 3.25, 8 Ce 3.40
Ru1 0.0001 0.5004 0.2500  8 Ce 2.84-3.02
Ru2 0.9999 0.4996 0.7500  8 Ce 2.84-3.02
Ru3 0.4996 0.9999 0.2500  8 Ce 2.84-3.02
Ru4 0.5004 0.0001 0.7500  8 Ce 2.84-3.02